No. 1
Density functional theory data (PBE) for crystalline VCo2SiBi at its relaxed geometry.

Uncorrected formation energy, meV/atom: 839

```
VCo2SiBi
1.0
-3.546 2.452 -0.799
-2.685 -3.301 1.787
0.378 1.838 3.963
Bi Si V Co
1 1 1 2
Direct
0.500 0.500 0.500
0.000 0.500 0.000
0.000 0.000 0.000
0.500 0.000 0.000
0.000 0.000 0.500
```

No. 2
Density functional theory data (PBE) for crystalline YCoSi2Bi at its relaxed geometry.

Uncorrected formation energy, meV/atom: -26

```
YCoSi2Bi
1.0
-0.302 4.183 -1.216
0.514 -1.571 -5.530
-4.338 -0.398 -0.290
Co Y Si Bi
1 1 2 1
Direct
0.000 0.000 0.000
0.500 0.500 0.500
0.500 0.000 0.000
0.000 0.000 0.500
0.000 0.500 0.000
```

No. 3
Density functional theory data (PBE) for crystalline Zr2CoSiBi at its relaxed geometry.

Uncorrected formation energy, meV/atom: 1838

```
Zr2CoSiBi
1.0
-1.549 -5.209 -0.054
4.834 -1.444 0.720
-0.751 0.168 5.380
Si Bi Co Zr
1 1 1 2
Direct
0.000 0.500 0.000
0.000 0.000 0.000
0.500 0.500 0.500
0.500 0.000 0.000
0.000 0.000 0.500
```

No. 4
Density functional theory data (PBE) for crystalline Sm5CoBi4 at its relaxed geometry.

ΔH_f (0 K), eV per atom: -0.5908

```
Sm5CoBi4
1.0
6.406 0.000 0.000
3.203 7.024 0.000
3.203 0.000 7.024
Sm Bi Co
5 4 1
Direct
0.391 0.000 0.000
0.113 0.624 0.186
0.736 0.186 0.376
0.298 0.814 0.624
0.922 0.376 0.814
0.220 0.208 0.389
0.428 0.389 0.792
0.817 0.792 0.611
0.609 0.611 0.208
0.975 0.000 0.000
```

No. 5
Density functional theory data (PBE) for crystalline Sm5Co2Bi at its relaxed geometry.

ΔH_f (0 K), eV per atom: -0.3019

```
Sm5Co2Bi
1.0
7.832 0.000 0.000
0.000 7.832 0.000
-3.916 -3.916 6.867
Bi Sm Co
2 10 4
Direct
0.250 0.250 0.500
0.750 0.750 0.500
0.526 0.713 0.738
0.213 0.026 0.738
0.474 0.287 0.262
0.787 0.974 0.262
0.500 0.500 0.000
0.713 0.213 0.738
0.000 0.000 0.000
0.974 0.474 0.262
0.287 0.787 0.262
0.026 0.526 0.738
0.861 0.639 0.000
0.639 0.139 0.000
0.139 0.361 0.000
0.361 0.861 0.000
```

No. 6
Density functional theory data (PBE) for crystalline Sm3CoBi at its relaxed geometry.

ΔH_f (0 K), eV per atom: -0.3347

```
Sm3CoBi
1.0
-3.242 -3.628 -2.002
2.321 -3.695 2.939
-3.433 0.928 3.878
Sm Co Bi
3 1 1
Direct
0.000 0.000 0.500
0.500 0.000 0.000
0.000 0.500 0.000
0.000 0.000 0.000
0.500 0.500 0.500
```

No. 7
Density functional theory data (PBE) for crystalline Sm8CoBi2 at its relaxed geometry.

ΔH_f (0 K), eV per atom: -0.2745

```
Sm8CoBi2
1.0
5.446 0.000 0.000
0.000 6.769 -0.306
-2.723 -3.259 8.985
Sm Co Bi
8 1 2
Direct
0.413 0.574 0.827
0.638 0.974 0.276
0.362 0.026 0.724
0.587 0.426 0.173
0.217 0.305 0.434
0.783 0.695 0.566
0.993 0.220 0.985
0.007 0.780 0.015
0.500 0.000 0.000
0.829 0.277 0.657
0.171 0.723 0.343
```

No. 8
Density functional theory data (PBE) for crystalline Sm12Co6Bi at its relaxed geometry.

ΔH_f (0 K), eV per atom: -0.2195

```
Sm12Co6Bi
1.0
8.599 0.000 0.000
-2.866 8.107 0.000
-2.866 -4.054 7.021
Sm Co Bi
12 6 1
Direct
0.112 0.805 0.307
0.888 0.195 0.693
0.503 0.195 0.307
0.693 0.497 0.805
0.307 0.503 0.195
0.497 0.805 0.693
0.805 0.693 0.497
0.693 0.888 0.195
0.805 0.307 0.112
0.195 0.693 0.888
0.307 0.112 0.805
0.195 0.307 0.503
0.500 0.889 0.389
0.111 0.611 0.500
0.889 0.389 0.500
0.500 0.111 0.611
0.389 0.500 0.889
0.611 0.500 0.111
0.000 0.000 0.000
```

What uncorrected energy values result from the calculations? In sequence: -0.4180; -0.4179; -0.3575; -0.3832; -0.4052; -0.3942; -0.3718; -0.4151 Ry/atom.